(1)
This record from the Alexandria database describes a geometry-optimized NaYNp2O8 structure. The functional is PBE.

Lattice parameters (Å, degrees): 6.4131 6.4131 6.4131 130.90 130.90 71.98
Sites, in units of the cell vectors:
Na1 0.0000 0.0000 0.0000
Y1 0.2500 0.7500 0.5000
Np1 0.5000 0.5000 0.0000
Np2 0.7500 0.2500 0.5000
O1 0.1276 0.1482 0.5294
O2 0.1276 0.5982 0.9794
O3 0.4018 0.3812 0.5294
O4 0.4018 0.8724 0.0206
O5 0.6188 0.1482 0.0206
O6 0.6188 0.5982 0.4706
O7 0.8518 0.3812 0.9794
O8 0.8518 0.8724 0.4706

Space-group type: No. 119
Uncorrected formation energy (kJ/mol of formula units): -3168
Total moment (μB per cell): 2.0
Total energy (eV/atom): -8.847

(2)
This record from the Alexandria database describes a geometry-optimized Na3Y2NpO6 structure. The functional is PBE.

Lattice parameters (Å, degrees): 5.9858 5.9858 5.9756 99.61 99.61 120.01
Sites, in units of the cell vectors:
Na1 0.0000 0.0000 0.0000
Na2 0.3314 0.6686 0.0000
Na3 0.6686 0.3314 0.0000
Y1 0.1666 0.8334 0.5000
Y2 0.8334 0.1666 0.5000
Np1 0.5000 0.5000 0.5000
O1 0.0921 0.4285 0.2855
O2 0.2351 0.2351 0.7146
O3 0.4285 0.0921 0.2855
O4 0.5715 0.9079 0.7145
O5 0.7649 0.7649 0.2854
O6 0.9079 0.5715 0.7145

Space-group type: No. 12
Uncorrected formation energy (kJ/mol of formula units): -2973
Total moment (μB per cell): 4.0
Total energy (eV/atom): -7.532

(3)
This record from the Alexandria database describes a geometry-optimized NaY2NpO6 structure. The functional is PBE.

Lattice parameters (Å, degrees): 6.1365 6.1365 6.1365 56.92 56.92 56.92
Sites, in units of the cell vectors:
Na1 0.0000 0.0000 0.0000
Y1 0.2712 0.2712 0.2712
Y2 0.7815 0.7815 0.7815
Np1 0.4801 0.4801 0.4801
O1 0.1009 0.6474 0.4141
O2 0.1995 0.5638 0.8650
O3 0.4141 0.1009 0.6474
O4 0.5638 0.8650 0.1995
O5 0.6474 0.4141 0.1009
O6 0.8650 0.1995 0.5638

Space-group type: No. 146
Uncorrected formation energy (kJ/mol of formula units): -2923
Total moment (μB per cell): 2.0
Total energy (eV/atom): -8.723

(4)
This record from the Alexandria database describes a geometry-optimized Na3Y3NpO8 structure. The functional is PBE.

Lattice parameters (Å, degrees): 6.8963 6.8963 6.8963 60.20 60.20 60.20
Sites, in units of the cell vectors:
Na1 0.0000 0.5000 0.5000
Na2 0.5000 0.0000 0.5000
Na3 0.5000 0.5000 0.0000
Y1 0.0000 0.0000 0.5000
Y2 0.0000 0.5000 0.0000
Y3 0.5000 0.0000 0.0000
Np1 0.5000 0.5000 0.5000
O1 0.2360 0.2360 0.2360
O2 0.2449 0.7274 0.7274
O3 0.2726 0.2726 0.7551
O4 0.2726 0.7551 0.2726
O5 0.7274 0.2449 0.7274
O6 0.7274 0.7274 0.2449
O7 0.7551 0.2726 0.2726
O8 0.7640 0.7640 0.7640

Space-group type: No. 166
Uncorrected formation energy (kJ/mol of formula units): -4019
Total moment (μB per cell): 3.0
Total energy (eV/atom): -7.841

(5)
This record from the Alexandria database describes a geometry-optimized NaNpZn2O8 structure. The functional is PBE.

Lattice parameters (Å, degrees): 6.0547 6.0547 6.0547 115.52 115.52 97.95
Sites, in units of the cell vectors:
Na1 0.0000 0.0000 0.0000
Np1 0.7500 0.2500 0.5000
Zn1 0.2500 0.7500 0.5000
Zn2 0.5000 0.5000 0.0000
O1 0.0292 0.4096 0.3805
O2 0.0292 0.6487 0.6195
O3 0.0990 0.2984 0.8006
O4 0.3513 0.9708 0.3805
O5 0.4977 0.2984 0.1994
O6 0.5904 0.9708 0.6195
O7 0.7016 0.5023 0.8006
O8 0.7016 0.9010 0.1994

Space-group type: No. 119
Uncorrected formation energy (kJ/mol of formula units): -1509
Total moment (μB per cell): 0.0
Total energy (eV/atom): -6.009

(6)
This record from the Alexandria database describes a geometry-optimized NaNp2ZnO8 structure. The functional is PBE.

Lattice parameters (Å, degrees): 6.3673 6.3673 6.3673 131.22 131.22 71.47
Sites, in units of the cell vectors:
Na1 0.0000 0.0000 0.0000
Np1 0.2500 0.7500 0.5000
Np2 0.5000 0.5000 0.0000
Zn1 0.7500 0.2500 0.5000
O1 0.1049 0.1325 0.5521
O2 0.2066 0.6832 0.0855
O3 0.3168 0.4023 0.5234
O4 0.4473 0.8951 0.0277
O5 0.5804 0.5527 0.4479
O6 0.5977 0.1211 0.9145
O7 0.8675 0.4196 0.9723
O8 0.8789 0.7934 0.4766

Space-group type: No. 82
Uncorrected formation energy (kJ/mol of formula units): -2503
Total moment (μB per cell): 1.0
Total energy (eV/atom): -7.840

(7)
This record from the Alexandria database describes a geometry-optimized Na3NpZn3O8 structure. The functional is PBE.

Lattice parameters (Å, degrees): 6.6898 6.6898 6.6898 56.87 56.87 56.87
Sites, in units of the cell vectors:
Na1 0.0000 0.5000 0.5000
Na2 0.5000 0.0000 0.5000
Na3 0.5000 0.5000 0.0000
Np1 0.5000 0.5000 0.5000
Zn1 0.0000 0.0000 0.5000
Zn2 0.0000 0.5000 0.0000
Zn3 0.5000 0.0000 0.0000
O1 0.2219 0.2219 0.2219
O2 0.2711 0.7203 0.7203
O3 0.2797 0.2797 0.7289
O4 0.2797 0.7289 0.2797
O5 0.7203 0.2711 0.7203
O6 0.7203 0.7203 0.2711
O7 0.7289 0.2797 0.2797
O8 0.7781 0.7781 0.7781

Space-group type: No. 166
Uncorrected formation energy (kJ/mol of formula units): -2591
Total moment (μB per cell): 0.0
Total energy (eV/atom): -5.816

(8)
This record from the Alexandria database describes a geometry-optimized Na3NpZn2O6 structure. The functional is PBE.

Lattice parameters (Å, degrees): 5.8427 5.8427 5.6796 96.02 96.02 125.23
Sites, in units of the cell vectors:
Na1 0.0000 0.0000 0.0000
Na2 0.3218 0.6782 0.0000
Na3 0.6782 0.3218 0.0000
Np1 0.5000 0.5000 0.5000
Zn1 0.1918 0.8082 0.5000
Zn2 0.8082 0.1918 0.5000
O1 0.0839 0.4058 0.2956
O2 0.2955 0.2955 0.7474
O3 0.4058 0.0839 0.2956
O4 0.5942 0.9161 0.7044
O5 0.7045 0.7045 0.2526
O6 0.9161 0.5942 0.7044

Space-group type: No. 12
Uncorrected formation energy (kJ/mol of formula units): -2235
Total moment (μB per cell): 2.0
Total energy (eV/atom): -6.030